{
  "formula": "MoIrS2",
  "functional": "PBE",
  "state": "relaxed",
  "formation_energy_uncorrected_ev_per_atom": -0.27,
  "crystal_system": "trigonal",
  "dos_at_fermi_per_ev_cell": 2.72,
  "m_tot_mub_per_cell": 0.0,
  "polymorph_energy_ev_per_atom": 0.000,
  "total_energy_ev_per_atom": -7.26,
  "lattice_angstrom": [[1.525, 0.880, 7.809], [-1.525, 0.880, 7.809], [0.000, -1.760, 7.809]],
  "species": ["Mo", "Ir", "S", "S"],
  "fractional_positions": [[0.000, 0.000, 0.000], [0.500, 0.500, 0.500], [0.404, 0.404, 0.404], [0.596, 0.596, 0.596]]
}

***

{
  "formula": "UBiPt",
  "functional": "PBE",
  "state": "relaxed",
  "crystal_system": "orthorhombic",
  "delta_e_f_ev_per_atom": -0.244,
  "dos_at_fermi_per_ev_cell": 11.22,
  "m_tot_mub_per_cell": 5.3,
  "total_energy_ev_per_atom": -7.31,
  "lattice_angstrom": [[1.899, -7.837, 0.000], [1.899, 7.837, 0.000], [0.000, 0.000, 4.903]],
  "species": ["U", "U", "Bi", "Bi", "Pt", "Pt"],
  "fractional_positions": [[0.083, 0.917, 0.750], [0.917, 0.083, 0.250], [0.227, 0.773, 0.250], [0.773, 0.227, 0.750], [0.445, 0.555, 0.750], [0.555, 0.445, 0.250]]
}

***

{
  "formula": "TiCrAgS4",
  "functional": "PBE",
  "state": "relaxed",
  "formation_energy_uncorrected_ev_per_atom": -0.73,
  "crystal_system": "orthorhombic",
  "dos_at_fermi_per_ev_cell": 4.99,
  "m_tot_mub_per_cell": 12.0,
  "polymorph_energy_ev_per_atom": 0.086,
  "total_energy_ev_per_atom": -6.00,
  "lattice_angstrom": [[3.462, 0.000, 0.000], [0.000, 11.233, 0.000], [0.000, 0.000, 12.875]],
  "species": ["Ti", "Ti", "Ti", "Ti", "Cr", "Cr", "Cr", "Cr", "Ag", "Ag", "Ag", "Ag", "S", "S", "S", "S", "S", "S", "S", "S", "S", "S", "S", "S", "S", "S", "S", "S"],
  "fractional_positions": [[0.000, 0.179, 0.000], [0.000, 0.199, 0.528], [0.500, 0.801, 0.028], [0.500, 0.821, 0.500], [0.000, 0.664, 0.322], [0.000, 0.691, 0.801], [0.500, 0.309, 0.301], [0.500, 0.336, 0.822], [0.000, 0.002, 0.728], [0.000, 0.497, 0.601], [0.500, 0.503, 0.101], [0.500, 0.998, 0.228], [0.000, 0.167, 0.341], [0.000, 0.284, 0.703], [0.000, 0.378, 0.944], [0.000, 0.453, 0.260], [0.000, 0.657, 0.981], [0.000, 0.785, 0.626], [0.000, 0.870, 0.375], [0.000, 0.951, 0.058], [0.500, 0.049, 0.558], [0.500, 0.130, 0.875], [0.500, 0.215, 0.126], [0.500, 0.343, 0.481], [0.500, 0.547, 0.760], [0.500, 0.622, 0.444], [0.500, 0.716, 0.203], [0.500, 0.833, 0.841]]
}

***

{
  "formula": "Zn4CuNi15",
  "functional": "PBE",
  "state": "relaxed",
  "crystal_system": "tetragonal",
  "delta_e_f_ev_per_atom": -0.078,
  "dos_at_fermi_per_ev_cell": 20.28,
  "m_tot_mub_per_cell": 6.3,
  "total_energy_ev_per_atom": -4.87,
  "lattice_angstrom": [[3.568, 0.000, 0.000], [0.000, 3.568, 0.000], [0.000, 0.000, 17.871]],
  "species": ["Zn", "Zn", "Zn", "Zn", "Cu", "Ni", "Ni", "Ni", "Ni", "Ni", "Ni", "Ni", "Ni", "Ni", "Ni", "Ni", "Ni", "Ni", "Ni", "Ni"],
  "fractional_positions": [[0.000, 0.000, 0.100], [0.000, 0.000, 0.301], [0.000, 0.000, 0.699], [0.000, 0.000, 0.900], [0.000, 0.000, 0.500], [0.000, 0.500, 0.000], [0.000, 0.500, 0.201], [0.000, 0.500, 0.402], [0.000, 0.500, 0.598], [0.000, 0.500, 0.799], [0.500, 0.000, 0.000], [0.500, 0.000, 0.201], [0.500, 0.000, 0.402], [0.500, 0.000, 0.598], [0.500, 0.000, 0.799], [0.500, 0.500, 0.100], [0.500, 0.500, 0.301], [0.500, 0.500, 0.500], [0.500, 0.500, 0.699], [0.500, 0.500, 0.900]]
}

***

{
  "formula": "Tl2ZnIn2Sn",
  "functional": "PBE",
  "state": "relaxed",
  "crystal_system": "orthorhombic",
  "delta_e_f_ev_per_atom": 0.056,
  "dos_at_fermi_per_ev_cell": 4.25,
  "m_tot_mub_per_cell": 0.0,
  "total_energy_ev_per_atom": -2.52,
  "lattice_angstrom": [[-3.095, 8.593, 3.113], [3.095, -8.593, 3.113], [3.095, 8.593, -3.113]],
  "species": ["Tl", "Tl", "Tl", "Tl", "Zn", "Zn", "In", "In", "In", "In", "Sn", "Sn"],
  "fractional_positions": [[0.186, 0.194, 0.379], [0.314, 0.694, 0.008], [0.686, 0.306, 0.992], [0.814, 0.806, 0.621], [0.250, 0.750, 0.500], [0.750, 0.250, 0.500], [0.122, 0.695, 0.817], [0.378, 0.195, 0.573], [0.622, 0.805, 0.427], [0.878, 0.305, 0.183], [0.250, 0.250, 0.000], [0.750, 0.750, 0.000]]
}

***

{
  "formula": "Dy2HoCu2Ge2",
  "functional": "PBE",
  "state": "relaxed",
  "crystal_system": "trigonal",
  "delta_e_f_ev_per_atom": -0.499,
  "dos_at_fermi_per_ev_cell": 4.71,
  "m_tot_mub_per_cell": 0.0,
  "total_energy_ev_per_atom": -4.96,
  "lattice_angstrom": [[2.097, 1.211, 10.051], [-2.097, 1.211, 10.051], [0.000, -2.421, 10.051]],
  "species": ["Dy", "Dy", "Ho", "Cu", "Cu", "Ge", "Ge"],
  "fractional_positions": [[0.122, 0.122, 0.122], [0.878, 0.878, 0.878], [0.000, 0.000, 0.000], [0.392, 0.392, 0.392], [0.608, 0.608, 0.608], [0.270, 0.270, 0.270], [0.730, 0.730, 0.730]]
}

***

{
  "formula": "SrZnPb2F8",
  "functional": "PBE",
  "state": "relaxed",
  "formation_energy_uncorrected_ev_per_atom": -2.70,
  "crystal_system": "monoclinic",
  "dos_at_fermi_per_ev_cell": 0.00,
  "m_tot_mub_per_cell": 0.0,
  "total_energy_ev_per_atom": -4.82,
  "lattice_angstrom": [[4.223, 0.000, 0.000], [0.000, 7.967, 0.000], [-0.560, 0.000, 5.711]],
  "species": ["Sr", "Zn", "Pb", "Pb", "F", "F", "F", "F", "F", "F", "F", "F"],
  "fractional_positions": [[0.000, 0.000, 0.000], [0.000, 0.500, 0.000], [0.500, 0.263, 0.500], [0.500, 0.737, 0.500], [0.046, 0.275, 0.769], [0.046, 0.725, 0.769], [0.408, 0.500, 0.214], [0.493, 0.000, 0.752], [0.507, 0.000, 0.248], [0.592, 0.500, 0.786], [0.954, 0.275, 0.231], [0.954, 0.725, 0.231]]
}

***

{
  "formula": "Ca2AlAg",
  "functional": "PBE",
  "state": "relaxed",
  "crystal_system": "orthorhombic",
  "delta_e_f_ev_per_atom": -0.204,
  "dos_at_fermi_per_ev_cell": 2.13,
  "m_tot_mub_per_cell": 0.0,
  "total_energy_ev_per_atom": -2.85,
  "lattice_angstrom": [[-1.788, 2.649, 5.459], [1.788, -2.649, 5.459], [1.788, 2.649, -5.459]],
  "species": ["Ca", "Ca", "Al", "Ag"],
  "fractional_positions": [[0.000, 0.000, 0.000], [0.702, 0.202, 0.500], [0.437, 0.437, 0.000], [0.256, 0.756, 0.500]]
}

***

Please write out number 8 again, unchanged.
{
  "formula": "Ca2AlAg",
  "functional": "PBE",
  "state": "relaxed",
  "crystal_system": "orthorhombic",
  "delta_e_f_ev_per_atom": -0.204,
  "dos_at_fermi_per_ev_cell": 2.13,
  "m_tot_mub_per_cell": 0.0,
  "total_energy_ev_per_atom": -2.85,
  "lattice_angstrom": [[-1.788, 2.649, 5.459], [1.788, -2.649, 5.459], [1.788, 2.649, -5.459]],
  "species": ["Ca", "Ca", "Al", "Ag"],
  "fractional_positions": [[0.000, 0.000, 0.000], [0.702, 0.202, 0.500], [0.437, 0.437, 0.000], [0.256, 0.756, 0.500]]
}